# 1
Density functional theory data (GGA-PBE) for a geometry-optimized BaGaS2O8 structure.

* SG: P-3
* D(E_F): 2.85 states/eV/cell
* raw total energy: -0.448 Ry per atom
* calculated volume: 14.926 Å³ per atom
* formation energy from raw total energies: -20.21 eV per formula unit

Cell lengths 5.1162, 5.1162, 7.9015 Å; angles 90.00, 90.00, 120.00 degrees
Element x y z (fractional)
Ba  0.0000  0.0000  0.0000
Ga  0.0000  0.0000  0.5000
S  0.3333  0.6667  0.7464
S  0.6667  0.3333  0.2536
O  0.0881  0.3644  0.6883
O  0.2762  0.9119  0.6883
O  0.3333  0.6667  0.9360
O  0.3644  0.2762  0.3117
O  0.6356  0.7238  0.6883
O  0.6667  0.3333  0.0640
O  0.7238  0.0881  0.3117
O  0.9119  0.6356  0.3117

# 2
Density functional theory data (GGA-PBE) for a geometry-optimized RbScPb structure.

* SG: Pm
* distance to the lowest polymorph of the same formula: 0.2112 eV per atom
* DFT formation energy: -0.0258 eV per atom
* D(E_F): 4.31 states/eV/cell
* raw total energy: -0.272 Ry per atom
* calculated volume: 38.928 Å³ per atom

Cell lengths 6.9386, 4.8145, 7.7959 Å; angles 90.00, 116.25, 90.00 degrees
Element x y z (fractional)
Rb  0.0000  0.0000  0.0000
Rb  0.4775  0.5000  0.0011
Sc  0.0998  0.5000  0.4557
Sc  0.6451  0.5000  0.5461
Pb  0.3927  0.0000  0.5498
Pb  0.8430  0.0000  0.4503

# 3
Density functional theory data (GGA-PBE) for a geometry-optimized Ac2TbHo2 structure.

* SG: P-1
* DFT formation energy: 0.0710 eV per atom
* D(E_F): 17.75 states/eV/cell
* raw total energy: -0.318 Ry per atom
* calculated volume: 36.822 Å³ per atom

Cell lengths 6.5678, 7.0558, 9.5830 Å; angles 71.95, 89.99, 62.27 degrees
Element x y z (fractional)
Ac  0.0322  0.1100  0.1502
Ac  0.3577  0.1114  0.6509
Ac  0.6423  0.8886  0.3491
Ac  0.9678  0.8900  0.8498
Tb  0.2412  0.6928  0.5517
Tb  0.7588  0.3072  0.4483
Ho  0.1780  0.4996  0.2492
Ho  0.4329  0.3085  0.9493
Ho  0.5671  0.6915  0.0507
Ho  0.8220  0.5004  0.7508

Which value of raw total energy does entry 3 give?
-0.318 Ry per atom

Which formula does entry 2 have?
RbScPb

The lowest raw total energy belongs to which entry?
BaGaS2O8

Look up the D(E_F) of the second one.
4.31 states/eV/cell